# 1
This record from Alexandria via LeMat-Bulk describes a relaxed structure of Re2TcP. The functional is GGA-PBEsol.

Unit cell a=3.6909 b=3.6909 c=8.0147 alpha=90.00 beta=90.00 gamma=90.00
Space group I-4m2 (No. 119)
One atom of each set of equivalent atoms:
Re1 0.0000 0.0000 0.0000 x2
Re2 0.0000 0.5000 0.2500 x2
Tc1 0.0000 0.0000 0.5000 x2
P1 0.0000 0.5000 0.7500 x2

Properties
- formation energy (eV per atom) = 0.241
- N(E_F) (states/eV/cell) = 7.97
- electronic total energy (eV per atom) = -10.690
- total moment (μB/f.u.) = 0.001
- ρ (Mg/m³) = 15.25

***

# 2
This record from Alexandria via LeMat-Bulk describes a relaxed structure of ReTe2P. The functional is GGA-PBEsol.

Unit cell a=4.3314 b=5.1999 c=7.2275 alpha=90.00 beta=90.00 gamma=90.00
Space group Amm2 (No. 38)
One atom of each set of equivalent atoms:
Re1 0.0000 0.0000 0.0000 x2
Te1 0.0000 0.0000 0.4069 x2
Te2 0.5000 0.0000 0.7618 x2
P1 0.5000 0.0000 0.1427 x2

Properties
- energy relative to the elements, uncorrected (eV per atom) = 0.27
- N(E_F) (states/eV/cell) = 3.89
- electronic total energy (eV per atom) = -6.277
- total moment (μB/f.u.) = 0.000
- ρ (Mg/m³) = 9.64

***

# 3
This record from Alexandria via LeMat-Bulk describes a relaxed structure of Re2TeP. The functional is GGA-PBEsol.

Unit cell a=7.4931 b=3.0737 c=5.9414 alpha=90.00 beta=102.34 gamma=90.00
Space group C2/m (No. 12)
One atom of each set of equivalent atoms:
Re1 0.2322 0.0000 0.1778 x4
Te1 0.0000 0.0000 0.5000 x2
P1 0.0000 0.5000 0.0000 x2

Properties
- energy relative to the elements, uncorrected (eV per atom) = 0.30
- N(E_F) (states/eV/cell) = 4.74
- electronic total energy (eV per atom) = -8.698
- total moment (μB/f.u.) = 0.000
- ρ (Mg/m³) = 13.19

***

# 4
This record from Alexandria via LeMat-Bulk describes a relaxed structure of Re2TeP. The functional is GGA-PBEsol.

Unit cell a=3.1265 b=3.9252 c=10.4107 alpha=90.00 beta=90.00 gamma=90.00
Space group Imm2 (No. 44)
One atom of each set of equivalent atoms:
Re1 0.0000 0.0000 0.0000 x2
Re2 0.0000 0.5000 0.2223 x2
Te1 0.0000 0.5000 0.8121 x2
P1 0.0000 0.0000 0.5535 x2

Properties
- energy relative to the elements, uncorrected (eV per atom) = 0.49
- N(E_F) (states/eV/cell) = 6.06
- electronic total energy (eV per atom) = -8.508
- total moment (μB/f.u.) = 0.000
- ρ (Mg/m³) = 13.80